Below is a relaxed structure of GeSbTePd, with properties calculated at the PBE level.

```
GeSbTePd
1.0
3.096 0.000 0.000
0.000 5.012 0.000
-2.994 0.000 12.068
Ge Sb Te Pd
2 2 2 2
Cartesian
0.644 2.506 0.936
-0.853 0.000 6.970
-0.834 2.506 8.225
0.663 0.000 2.191
-0.818 2.506 4.710
-2.316 0.000 10.744
-0.797 2.506 10.969
0.700 0.000 4.935
```

Output
Space group: Cm, No. 8
Calculated volume: 187.25 Å³ per cell
ρ: 7.599 g/cm3
Total magnetic moment: 0.000 μB per atom
VASP energy: -4.35 eV per atom